# KLi2Cl, relaxed, DFT PBE
data_KLi2Cl
_symmetry_space_group_name_H-M 'P 1'
_symmetry_Int_Tables_number 1
_cell_length_a 4.034
_cell_length_b 4.034
_cell_length_c 10.213
_cell_angle_alpha 90.00
_cell_angle_beta 90.00
_cell_angle_gamma 125.96
loop_
_symmetry_equiv_pos_as_xyz
'x,y,z'
loop_
_atom_site_label
_atom_site_fract_x
_atom_site_fract_y
_atom_site_fract_z
K1 0.000 0.000 0.000
Li1 0.500 0.500 0.344
Li2 0.500 0.500 0.656
Cl1 0.000 0.000 0.500
# * formation energy (no corrections): -0.673 eV per atom
# * magnetization: 0.000 μB per atom
# * space group: Cmmm, No. 65
# * volume: 33.64 Å³/atom

# K2LiCl3, relaxed, DFT PBE
data_K2LiCl3
_symmetry_space_group_name_H-M 'P 1'
_symmetry_Int_Tables_number 1
_cell_length_a 7.418
_cell_length_b 7.418
_cell_length_c 8.265
_cell_angle_alpha 106.20
_cell_angle_beta 106.20
_cell_angle_gamma 51.00
loop_
_symmetry_equiv_pos_as_xyz
'x,y,z'
loop_
_atom_site_label
_atom_site_fract_x
_atom_site_fract_y
_atom_site_fract_z
K1 0.172 0.173 0.086
K2 0.173 0.172 0.586
K3 0.827 0.828 0.414
K4 0.828 0.827 0.914
Li1 0.436 0.564 0.250
Li2 0.564 0.436 0.750
Cl1 0.063 0.937 0.250
Cl2 0.359 0.360 0.430
Cl3 0.360 0.359 0.930
Cl4 0.640 0.641 0.070
Cl5 0.641 0.640 0.570
Cl6 0.937 0.063 0.750
# * formation energy (no corrections): -1.852 eV per atom
# * magnetization: 0.000 μB per atom
# * space group: C2/c, No. 15
# * volume: 28.01 Å³/atom

# KLiCl2, relaxed, DFT PBE
data_KLiCl2
_symmetry_space_group_name_H-M 'P 1'
_symmetry_Int_Tables_number 1
_cell_length_a 7.526
_cell_length_b 7.526
_cell_length_c 7.526
_cell_angle_alpha 152.09
_cell_angle_beta 150.20
_cell_angle_gamma 41.29
loop_
_symmetry_equiv_pos_as_xyz
'x,y,z'
loop_
_atom_site_label
_atom_site_fract_x
_atom_site_fract_y
_atom_site_fract_z
K1 0.000 0.000 0.000
Li1 0.256 0.756 0.500
Cl1 0.386 0.386 0.000
Cl2 0.673 0.173 0.500
# * formation energy (no corrections): -1.732 eV per atom
# * magnetization: 0.000 μB per atom
# * space group: Imm2, No. 44
# * volume: 24.73 Å³/atom

# K4LiCl, relaxed, DFT PBE
data_K4LiCl
_symmetry_space_group_name_H-M 'P 1'
_symmetry_Int_Tables_number 1
_cell_length_a 7.893
_cell_length_b 7.893
_cell_length_c 7.893
_cell_angle_alpha 60.00
_cell_angle_beta 60.00
_cell_angle_gamma 60.00
loop_
_symmetry_equiv_pos_as_xyz
'x,y,z'
loop_
_atom_site_label
_atom_site_fract_x
_atom_site_fract_y
_atom_site_fract_z
K1 0.125 0.125 0.125
K2 0.125 0.125 0.624
K3 0.125 0.624 0.125
K4 0.624 0.125 0.125
Li1 0.750 0.750 0.750
Cl1 0.500 0.500 0.500
# * formation energy (no corrections): -0.104 eV per atom
# * magnetization: 0.009 μB per atom
# * space group: F-43m, No. 216
# * volume: 57.96 Å³/atom

# KLi2Cl, relaxed, DFT PBE
data_KLi2Cl
_symmetry_space_group_name_H-M 'P 1'
_symmetry_Int_Tables_number 1
_cell_length_a 5.592
_cell_length_b 5.592
_cell_length_c 5.592
_cell_angle_alpha 60.00
_cell_angle_beta 60.00
_cell_angle_gamma 60.00
loop_
_symmetry_equiv_pos_as_xyz
'x,y,z'
loop_
_atom_site_label
_atom_site_fract_x
_atom_site_fract_y
_atom_site_fract_z
K1 0.000 0.000 0.000
Li1 0.500 0.500 0.500
Li2 0.750 0.750 0.750
Cl1 0.250 0.250 0.250
# * formation energy (no corrections): -0.399 eV per atom
# * magnetization: 0.000 μB per atom
# * space group: F-43m, No. 216
# * volume: 30.90 Å³/atom

# KLiCl2, relaxed, DFT PBE
data_KLiCl2
_symmetry_space_group_name_H-M 'P 1'
_symmetry_Int_Tables_number 1
_cell_length_a 5.200
_cell_length_b 5.200
_cell_length_c 5.200
_cell_angle_alpha 60.00
_cell_angle_beta 60.00
_cell_angle_gamma 60.00
loop_
_symmetry_equiv_pos_as_xyz
'x,y,z'
loop_
_atom_site_label
_atom_site_fract_x
_atom_site_fract_y
_atom_site_fract_z
K1 0.000 0.000 0.000
Li1 0.250 0.250 0.250
Cl1 0.500 0.500 0.500
Cl2 0.750 0.750 0.750
# * formation energy (no corrections): -1.167 eV per atom
# * magnetization: 0.000 μB per atom
# * space group: F-43m, No. 216
# * volume: 24.85 Å³/atom

# KLiCl2, relaxed, DFT PBE
data_KLiCl2
_symmetry_space_group_name_H-M 'P 1'
_symmetry_Int_Tables_number 1
_cell_length_a 3.552
_cell_length_b 3.552
_cell_length_c 7.262
_cell_angle_alpha 90.00
_cell_angle_beta 90.00
_cell_angle_gamma 90.00
loop_
_symmetry_equiv_pos_as_xyz
'x,y,z'
loop_
_atom_site_label
_atom_site_fract_x
_atom_site_fract_y
_atom_site_fract_z
K1 0.000 0.000 0.000
Li1 0.000 0.000 0.500
Cl1 0.500 0.500 0.274
Cl2 0.500 0.500 0.726
# * formation energy (no corrections): -1.647 eV per atom
# * magnetization: 0.000 μB per atom
# * space group: P4/mmm, No. 123
# * volume: 22.90 Å³/atom

# K5Li2Cl6, relaxed, DFT PBE
data_K5Li2Cl6
_symmetry_space_group_name_H-M 'P 1'
_symmetry_Int_Tables_number 1
_cell_length_a 12.763
_cell_length_b 15.960
_cell_length_c 4.291
_cell_angle_alpha 90.00
_cell_angle_beta 90.00
_cell_angle_gamma 90.00
loop_
_symmetry_equiv_pos_as_xyz
'x,y,z'
loop_
_atom_site_label
_atom_site_fract_x
_atom_site_fract_y
_atom_site_fract_z
K1 0.000 0.000 0.000
K2 0.132 0.455 0.000
K3 0.193 0.718 0.000
K4 0.307 0.218 0.000
K5 0.368 0.955 0.000
K6 0.500 0.500 0.000
K7 0.632 0.045 0.000
K8 0.693 0.782 0.000
K9 0.807 0.282 0.000
K10 0.868 0.545 0.000
Li1 0.058 0.274 0.500
Li2 0.442 0.774 0.500
Li3 0.558 0.226 0.500
Li4 0.942 0.726 0.500
Cl1 0.042 0.206 0.000
Cl2 0.067 0.607 0.500
Cl3 0.226 0.340 0.500
Cl4 0.274 0.840 0.500
Cl5 0.433 0.107 0.500
Cl6 0.458 0.706 0.000
Cl7 0.542 0.294 0.000
Cl8 0.567 0.893 0.500
Cl9 0.726 0.160 0.500
Cl10 0.774 0.660 0.500
Cl11 0.933 0.393 0.500
Cl12 0.958 0.794 0.000
# * formation energy (no corrections): -1.694 eV per atom
# * magnetization: 0.000 μB per atom
# * space group: Pbam, No. 55
# * volume: 33.62 Å³/atom

# KLi2Cl, relaxed, DFT PBE
data_KLi2Cl
_symmetry_space_group_name_H-M 'P 1'
_symmetry_Int_Tables_number 1
_cell_length_a 4.316
_cell_length_b 4.316
_cell_length_c 6.869
_cell_angle_alpha 90.00
_cell_angle_beta 90.00
_cell_angle_gamma 90.00
loop_
_symmetry_equiv_pos_as_xyz
'x,y,z'
loop_
_atom_site_label
_atom_site_fract_x
_atom_site_fract_y
_atom_site_fract_z
K1 0.000 0.000 0.000
Li1 0.260 0.740 0.500
Li2 0.740 0.260 0.500
Cl1 0.500 0.500 0.000
# * formation energy (no corrections): -0.639 eV per atom
# * magnetization: 0.000 μB per atom
# * space group: Cmmm, No. 65
# * volume: 31.99 Å³/atom

# KLiCl2, relaxed, DFT PBE
data_KLiCl2
_symmetry_space_group_name_H-M 'P 1'
_symmetry_Int_Tables_number 1
_cell_length_a 5.122
_cell_length_b 5.122
_cell_length_c 3.615
_cell_angle_alpha 90.68
_cell_angle_beta 90.68
_cell_angle_gamma 89.96
loop_
_symmetry_equiv_pos_as_xyz
'x,y,z'
loop_
_atom_site_label
_atom_site_fract_x
_atom_site_fract_y
_atom_site_fract_z
K1 0.000 0.000 0.000
Li1 0.500 0.500 0.000
Cl1 0.000 0.500 0.500
Cl2 0.500 0.000 0.500
# * formation energy (no corrections): -1.616 eV per atom
# * magnetization: 0.000 μB per atom
# * space group: C2/m, No. 12
# * volume: 23.71 Å³/atom

# KLiCl2, relaxed, DFT PBE
data_KLiCl2
_symmetry_space_group_name_H-M 'P 1'
_symmetry_Int_Tables_number 1
_cell_length_a 4.112
_cell_length_b 4.112
_cell_length_c 6.533
_cell_angle_alpha 90.00
_cell_angle_beta 90.00
_cell_angle_gamma 90.00
loop_
_symmetry_equiv_pos_as_xyz
'x,y,z'
loop_
_atom_site_label
_atom_site_fract_x
_atom_site_fract_y
_atom_site_fract_z
K1 0.000 0.000 0.000
Li1 0.500 0.500 0.453
Cl1 0.000 0.000 0.522
Cl2 0.500 0.500 0.099
# * formation energy (no corrections): -1.763 eV per atom
# * magnetization: 0.000 μB per atom
# * space group: P4mm, No. 99
# * volume: 27.61 Å³/atom

# KLiCl2, relaxed, DFT PBE
data_KLiCl2
_symmetry_space_group_name_H-M 'P 1'
_symmetry_Int_Tables_number 1
_cell_length_a 8.380
_cell_length_b 8.380
_cell_length_c 8.380
_cell_angle_alpha 152.11
_cell_angle_beta 152.11
_cell_angle_gamma 39.86
loop_
_symmetry_equiv_pos_as_xyz
'x,y,z'
loop_
_atom_site_label
_atom_site_fract_x
_atom_site_fract_y
_atom_site_fract_z
K1 0.000 0.000 0.000
Li1 0.250 0.750 0.500
Cl1 0.500 0.500 0.000
Cl2 0.750 0.250 0.500
# * formation energy (no corrections): -1.590 eV per atom
# * magnetization: 0.000 μB per atom
# * space group: I-4m2, No. 119
# * volume: 32.14 Å³/atom